1.
Computed, not measured: AlCr after structural relaxation at the PBE level of DFT.

Lattice parameters (Å, degrees): 4.9511 4.9511 4.9518 90.00 90.00 90.00
Closest atoms and distances in Å follow each position.
Positions (direct):
Al 0.1871 0.1871 0.0000  6 Cr 2.48-2.59, 1 Al 2.62
Al 0.3129 0.6871 0.5000  6 Cr 2.48-2.59, 1 Al 2.62
Al 0.6871 0.3129 0.5000  6 Cr 2.48-2.59, 1 Al 2.62
Al 0.8129 0.8129 0.0000  6 Cr 2.48-2.59, 1 Al 2.62
Cr 0.1815 0.1815 0.5000  6 Al 2.48-2.59, 1 Cr 2.54
Cr 0.3185 0.6815 0.0000  6 Al 2.48-2.59, 1 Cr 2.54
Cr 0.6815 0.3185 0.0000  6 Al 2.48-2.59, 1 Cr 2.54
Cr 0.8185 0.8185 0.5000  6 Al 2.48-2.59, 1 Cr 2.54

* space group: P4_2/mnm
* magnetic moment: 1.56 μB per formula unit
* density of states at the Fermi level: 9.90 states/eV per cell
* calculated total energy: -6.05 eV/atom
* calculated formation energy: 0.630 eV/atom

=====

2.
Computed, not measured: Pm2Dy8Tl after structural relaxation at the PBE level of DFT.

Lattice parameters (Å, degrees): 10.1272 10.1272 6.4689 95.02 95.02 31.92
Closest atoms and distances in Å follow each position.
Positions (direct):
Pm 0.2438 0.2438 0.3340  9 Dy 3.44-3.82, 2 Pm 3.51
Pm 0.7562 0.7562 0.6660  9 Dy 3.44-3.82, 2 Pm 3.51
Dy 0.0437 0.0437 0.2684  2 Tl 3.35, 4 Dy 3.54-3.73
Dy 0.1527 0.1527 0.8069  5 Dy 3.36-3.62, 4 Pm 3.60-3.70
Dy 0.3391 0.3391 0.8773  1 Tl 3.16, 2 Pm 3.44, 2 Dy 3.45
Dy 0.4219 0.4219 0.4009  1 Tl 3.12, 3 Dy 3.19-3.36, 1 Pm 3.45
Dy 0.5781 0.5781 0.5991  1 Tl 3.12, 3 Dy 3.19-3.36, 1 Pm 3.45
Dy 0.6609 0.6609 0.1227  1 Tl 3.16, 2 Pm 3.44, 2 Dy 3.45
Dy 0.8473 0.8473 0.1931  5 Dy 3.36-3.62, 4 Pm 3.60-3.70
Dy 0.9563 0.9563 0.7316  2 Tl 3.35, 4 Dy 3.54-3.73
Tl 0.5000 0.5000 0.0000  8 Dy 3.12-3.35

* space group: C2/m
* magnetic moment: 0.00 μB per formula unit
* density of states at the Fermi level: 15.69 states/eV per cell
* calculated total energy: -4.45 eV/atom
* calculated formation energy: -0.024 eV/atom

=====

3.
Computed, not measured: RbBeGa after structural relaxation at the PBE level of DFT.

Lattice parameters (Å, degrees): 3.2601 5.9617 4.3815 90.00 112.02 90.00
Closest atoms and distances in Å follow each position.
Positions (direct):
Rb 0.0000 0.0000 0.0000  2 Rb 3.26, 4 Be 3.51
Be 0.6082 0.5000 0.2187  3 Ga 2.33-2.38
Ga 0.3245 0.5000 0.6462  3 Be 2.33-2.38

* space group: Pm
* magnetic moment: 0.00 μB per formula unit
* density of states at the Fermi level: 1.59 states/eV per cell
* calculated total energy: -2.18 eV/atom
* calculated formation energy: 0.392 eV/atom

=====

4.
Computed, not measured: Ba2CuTc after structural relaxation at the PBE level of DFT.

Lattice parameters (Å, degrees): 15.8051 4.3801 4.5051 90.00 106.54 90.00
Closest atoms and distances in Å follow each position.
Positions (direct):
Ba 0.0000 0.0000 0.0000  2 Cu 3.30-3.31, 4 Tc 3.45
Ba 0.2449 0.5000 0.2441  2 Tc 3.20-3.21, 4 Cu 3.39-3.40
Ba 0.5000 0.5000 0.0000  2 Cu 3.30-3.31, 4 Tc 3.45
Ba 0.7449 0.0000 0.2441  2 Tc 3.20-3.21, 4 Cu 3.39-3.40
Cu 0.1599 0.0000 0.6584  2 Tc 2.40
Cu 0.6599 0.5000 0.6584  2 Tc 2.40
Tc 0.0945 0.5000 0.5946  2 Cu 2.40
Tc 0.5945 0.0000 0.5946  2 Cu 2.40

* space group: Cm
* magnetic moment: 1.37 μB per formula unit
* density of states at the Fermi level: 6.97 states/eV per cell
* calculated total energy: -4.01 eV/atom
* calculated formation energy: 0.565 eV/atom

=====

5.
Computed, not measured: TmTlIn after structural relaxation at the PBE level of DFT.

Lattice parameters (Å, degrees): 5.4082 9.0300 6.4132 90.00 90.00 90.00
Closest atoms and distances in Å follow each position.
Positions (direct):
Tm 0.0000 0.1669 0.2500  5 Tl 3.05-3.21, 2 In 3.41
Tm 0.0000 0.8331 0.7500  5 Tl 3.05-3.21, 2 In 3.41
Tm 0.5000 0.3331 0.7500  5 Tl 3.05-3.21, 2 In 3.41
Tm 0.5000 0.6669 0.2500  5 Tl 3.05-3.21, 2 In 3.41
Tl 0.0000 0.1707 0.7500  5 Tm 3.05-3.21, 2 In 3.38
Tl 0.0000 0.8293 0.2500  5 Tm 3.05-3.21, 2 In 3.38
Tl 0.5000 0.3293 0.2500  5 Tm 3.05-3.21, 2 In 3.38
Tl 0.5000 0.6707 0.7500  5 Tm 3.05-3.21, 2 In 3.38
In 0.0000 0.5000 0.0000  2 In 3.21, 6 Tl 3.38-3.50, 6 Tm 3.41-3.49
In 0.0000 0.5000 0.5000  2 In 3.21, 6 Tl 3.38-3.50, 6 Tm 3.41-3.49
In 0.5000 0.0000 0.0000  2 In 3.21, 6 Tl 3.38-3.50, 6 Tm 3.41-3.49
In 0.5000 0.0000 0.5000  2 In 3.21, 6 Tl 3.38-3.50, 6 Tm 3.41-3.49

* space group: Cmcm
* magnetic moment: 0.00 μB per formula unit
* density of states at the Fermi level: 5.87 states/eV per cell
* calculated total energy: -3.40 eV/atom
* calculated formation energy: -0.205 eV/atom

=====

6.
Computed, not measured: Ta3MnP after structural relaxation at the PBE level of DFT.

Lattice parameters (Å, degrees): 4.5317 4.5317 4.5317 90.00 90.00 90.00
Closest atoms and distances in Å follow each position.
Positions (direct):
Ta 0.0000 0.0000 0.5000  2 P 2.27
Ta 0.0000 0.5000 0.0000  2 P 2.27
Ta 0.5000 0.0000 0.0000  2 P 2.27
Mn 0.5000 0.5000 0.5000  12 Ta 3.20
P 0.0000 0.0000 0.0000  6 Ta 2.27

* space group: Pm-3m
* magnetic moment: 0.00 μB per formula unit
* density of states at the Fermi level: 7.69 states/eV per cell
* calculated total energy: -9.29 eV/atom
* calculated formation energy: 0.736 eV/atom

=====

7.
Computed, not measured: AgSn after structural relaxation at the PBE level of DFT.

Lattice parameters (Å, degrees): 8.5568 8.5568 8.5568 90.00 90.00 90.00
Closest atoms and distances in Å follow each position.
Positions (direct):
Ag 0.1855 0.1855 0.1855  4 Sn 2.69-2.80
Ag 0.1855 0.8145 0.8145  4 Sn 2.69-2.80
Ag 0.3145 0.3145 0.6855  4 Sn 2.69-2.80
Ag 0.3145 0.6855 0.3145  4 Sn 2.69-2.80
Ag 0.6855 0.3145 0.3145  4 Sn 2.69-2.80
Ag 0.6855 0.6855 0.6855  4 Sn 2.69-2.80
Ag 0.8145 0.1855 0.8145  4 Sn 2.69-2.80
Ag 0.8145 0.8145 0.1855  4 Sn 2.69-2.80
Sn 0.1331 0.1331 0.8669  4 Ag 2.69-2.80
Sn 0.1331 0.8669 0.1331  4 Ag 2.69-2.80
Sn 0.3669 0.3669 0.3669  4 Ag 2.69-2.80
Sn 0.3669 0.6331 0.6331  4 Ag 2.69-2.80
Sn 0.6331 0.3669 0.6331  4 Ag 2.69-2.80
Sn 0.6331 0.6331 0.3669  4 Ag 2.69-2.80
Sn 0.8669 0.1331 0.1331  4 Ag 2.69-2.80
Sn 0.8669 0.8669 0.8669  4 Ag 2.69-2.80

* space group: I-43m
* magnetic moment: 0.00 μB per formula unit
* density of states at the Fermi level: 2.19 states/eV per cell
* calculated total energy: -3.07 eV/atom
* calculated formation energy: 0.358 eV/atom

=====

8.
Computed, not measured: AcZr2 after structural relaxation at the PBE level of DFT.

Lattice parameters (Å, degrees): 3.9551 3.9551 11.1288 90.00 90.00 90.00
Closest atoms and distances in Å follow each position.
Positions (direct):
Ac 0.0000 0.0000 0.0000  10 Zr 3.40-3.54
Ac 0.5000 0.5000 0.5000  10 Zr 3.40-3.54
Zr 0.0000 0.0000 0.3055  4 Zr 3.06, 1 Ac 3.40
Zr 0.0000 0.0000 0.6945  4 Zr 3.06, 1 Ac 3.40
Zr 0.5000 0.5000 0.1945  4 Zr 3.06, 1 Ac 3.40
Zr 0.5000 0.5000 0.8055  4 Zr 3.06, 1 Ac 3.40

* space group: I4/mmm
* magnetic moment: 0.00 μB per formula unit
* density of states at the Fermi level: 11.43 states/eV per cell
* calculated total energy: -6.81 eV/atom
* calculated formation energy: 0.258 eV/atom

=====

9.
Computed, not measured: Li2SnBiAu4 after structural relaxation at the PBE level of DFT.

Lattice parameters (Å, degrees): 8.4249 8.4249 8.4249 32.96 32.96 32.96
Closest atoms and distances in Å follow each position.
Positions (direct):
Li 0.2501 0.2501 0.2501  8 Au 2.88-3.15
Li 0.7499 0.7499 0.7499  8 Au 2.88-3.15
Sn 0.0000 0.0000 0.0000  8 Au 2.82-2.91
Bi 0.5000 0.5000 0.5000  8 Au 2.99-3.07
Au 0.1181 0.1181 0.1181  1 Sn 2.82, 4 Li 2.88-3.15, 3 Bi 2.99
Au 0.3715 0.3715 0.3715  4 Li 2.90-2.96, 3 Sn 2.91, 1 Bi 3.07
Au 0.6285 0.6285 0.6285  4 Li 2.90-2.96, 3 Sn 2.91, 1 Bi 3.07
Au 0.8819 0.8819 0.8819  1 Sn 2.82, 4 Li 2.88-3.15, 3 Bi 2.99

* space group: R-3m
* magnetic moment: 0.00 μB per formula unit
* density of states at the Fermi level: 2.19 states/eV per cell
* calculated total energy: -3.44 eV/atom
* calculated formation energy: -0.334 eV/atom

=====

10.
Computed, not measured: YI2F after structural relaxation at the PBE level of DFT.

Lattice parameters (Å, degrees): 11.3017 11.3017 4.3816 90.00 90.00 90.00
Closest atoms and distances in Å follow each position.
Positions (direct):
Y 0.0000 0.0000 0.0000  2 F 2.19
Y 0.0000 0.5000 0.2500  2 F 2.19
Y 0.5000 0.0000 0.7500  2 F 2.19
Y 0.5000 0.5000 0.5000  2 F 2.19
I 0.0907 0.2500 0.1250  2 Y 3.06
I 0.2500 0.5907 0.3750  2 Y 3.06
I 0.2500 0.9093 0.8750  2 Y 3.06
I 0.4093 0.2500 0.6250  2 Y 3.06
I 0.5907 0.7500 0.6250  2 Y 3.06
I 0.7500 0.0907 0.8750  2 Y 3.06
I 0.7500 0.4093 0.3750  2 Y 3.06
I 0.9093 0.7500 0.1250  2 Y 3.06
F 0.0000 0.0000 0.5000  2 Y 2.19
F 0.0000 0.5000 0.7500  2 Y 2.19
F 0.5000 0.0000 0.2500  2 Y 2.19
F 0.5000 0.5000 0.0000  2 Y 2.19

* space group: I-42d
* formation energy without anion corrections: -2206 meV/atom
* magnetic moment: 0.00 μB per formula unit
* density of states at the Fermi level: 0.00 states/eV per cell
* calculated total energy: -5.06 eV/atom